Record 1
# Zr2TlRh2 | the Alexandria database | PBE | relaxed
data_Zr2TlRh2
_chemical_formula_sum 'Zr2 Tl1 Rh2'
_space_group_name_H-M_alt 'P 1'
_space_group_IT_number 1
_space_group_name_Hall 'P 1'
_cell_length_a 3.999
_cell_length_b 3.999
_cell_length_c 7.321
_cell_angle_alpha 74.15
_cell_angle_beta 74.15
_cell_angle_gamma 90.00
loop_
_atom_site_label
_atom_site_fract_x
_atom_site_fract_y
_atom_site_fract_z
Tl1 0.000 0.000 0.000
Rh1 0.750 0.250 0.500
Rh2 0.250 0.750 0.500
Zr1 0.378 0.378 0.244
Zr2 0.622 0.622 0.756
# Energy of formation   -0.229 eV per atom
# D(E_F)   4.074 states/eV per cell

***

Record 2
# ZrTlRh | the Alexandria database | PBE | relaxed
data_ZrTlRh
_chemical_formula_sum 'Zr1 Tl1 Rh1'
_space_group_name_H-M_alt 'P 1'
_space_group_IT_number 1
_space_group_name_Hall 'P 1'
_cell_length_a 3.358
_cell_length_b 3.358
_cell_length_c 6.631
_cell_angle_alpha 90.00
_cell_angle_beta 90.00
_cell_angle_gamma 120.00
loop_
_atom_site_label
_atom_site_fract_x
_atom_site_fract_y
_atom_site_fract_z
Rh1 0.000 0.000 0.974
Tl1 0.667 0.333 0.317
Zr1 0.333 0.667 0.709
# Energy of formation   -0.133 eV per atom
# D(E_F)   1.746 states/eV per cell

***

Record 3
# ZrTlRh3 | the Alexandria database | PBE | relaxed
data_ZrTlRh3
_chemical_formula_sum 'Zr1 Tl1 Rh3'
_space_group_name_H-M_alt 'P 1'
_space_group_IT_number 1
_space_group_name_Hall 'P 1'
_cell_length_a 4.851
_cell_length_b 4.851
_cell_length_c 4.851
_cell_angle_alpha 90.00
_cell_angle_beta 90.00
_cell_angle_gamma 90.00
loop_
_atom_site_label
_atom_site_fract_x
_atom_site_fract_y
_atom_site_fract_z
Tl1 0.000 0.000 0.000
Rh1 0.000 0.500 0.000
Rh2 0.000 0.000 0.500
Rh3 0.500 0.000 0.000
Zr1 0.500 0.500 0.500
# Energy above the lowest structure with this stoichiometry   434.8 meV per atom
# Energy of formation   1.116 eV per atom
# D(E_F)   0.107 states/eV per cell

***

Record 4
# ZrTlRh | the Alexandria database | PBE | relaxed
data_ZrTlRh
_chemical_formula_sum 'Zr1 Tl1 Rh1'
_space_group_name_H-M_alt 'P 1'
_space_group_IT_number 1
_space_group_name_Hall 'P 1'
_cell_length_a 4.711
_cell_length_b 4.711
_cell_length_c 3.044
_cell_angle_alpha 90.00
_cell_angle_beta 90.00
_cell_angle_gamma 120.00
loop_
_atom_site_label
_atom_site_fract_x
_atom_site_fract_y
_atom_site_fract_z
Rh1 0.000 0.000 0.165
Tl1 0.667 0.333 0.167
Zr1 0.333 0.667 0.667
# Energy of formation   -0.239 eV per atom
# D(E_F)   1.675 states/eV per cell

***

Q: Which formula does entry 3 have?
A: ZrTlRh3

***

Q: Number 4 is which compound?
A: ZrTlRh